A PBEsol-optimized structure of Ca2Mg5Si8O24. Source: Alexandria via LeMat-Bulk, functional SCAN.

```
39
Lattice="4.962 -9.092 0.000 4.962 9.092 0.000 -1.353 0.000 5.103" Properties=species:S:1:pos:R:3 pbc="T T T"
Ca 4.962 5.096 0.000
Ca 4.962 -5.096 0.000
Mg 4.286 3.232 2.552
Mg 4.962 1.720 0.000
Mg 4.286 0.000 2.552
Mg 4.962 -1.720 0.000
Mg 4.286 -3.232 2.552
Si 1.155 3.122 3.556
Si 1.914 1.531 1.053
Si 1.914 -1.531 1.053
Si 1.155 -3.122 3.556
Si 7.416 3.122 1.547
Si 6.657 1.531 4.051
Si 6.657 -1.531 4.051
Si 7.416 -3.122 1.547
O 0.976 2.462 2.036
O 0.327 2.158 4.656
O 3.258 4.586 1.477
O 1.361 0.000 1.087
O 2.732 3.159 3.960
O 0.327 -2.158 4.656
O 0.976 -2.462 2.036
O 3.472 1.596 1.482
O 5.313 4.586 3.626
O 2.999 0.000 4.193
O 5.839 3.159 1.143
O 3.472 -1.596 1.482
O 5.099 1.596 3.622
O 2.732 -3.159 3.960
O 5.572 0.000 0.910
O 3.258 -4.586 1.477
O 5.099 -1.596 3.622
O 7.595 2.462 3.067
O 8.244 2.158 0.448
O 5.839 -3.159 1.143
O 7.210 0.000 4.017
O 5.313 -4.586 3.626
O 8.244 -2.158 0.448
O 7.595 -2.462 3.067
```

Calculated values
The value obtained for the total magnetization is 2.09 μB per formula unit. The uncorrected formation energy is -3024 meV per atom. Its crystal system is monoclinic.

---

A PBEsol-optimized structure of SrCaMg30O32. Source: Alexandria via LeMat-Bulk, functional SCAN.

```
64
Lattice="8.562 0.000 0.000 0.000 8.562 0.000 0.000 0.000 8.558" Properties=species:S:1:pos:R:3 pbc="T T T"
Sr 0.000 0.000 0.000
Ca 4.281 4.281 0.000
Mg 0.000 0.000 4.279
Mg 0.000 2.180 2.185
Mg 0.000 2.180 6.373
Mg 0.000 4.281 0.000
Mg 0.000 4.281 4.279
Mg 0.000 6.382 2.185
Mg 0.000 6.382 6.373
Mg 2.119 4.281 2.169
Mg 2.119 4.281 6.389
Mg 2.142 2.142 4.279
Mg 2.142 6.420 4.279
Mg 2.158 2.158 0.000
Mg 2.158 6.404 0.000
Mg 2.180 0.000 2.185
Mg 2.180 0.000 6.373
Mg 4.281 0.000 0.000
Mg 4.281 0.000 4.279
Mg 4.281 2.119 2.169
Mg 4.281 2.119 6.389
Mg 4.281 4.281 4.279
Mg 4.281 6.443 2.169
Mg 4.281 6.443 6.389
Mg 6.382 0.000 2.185
Mg 6.382 0.000 6.373
Mg 6.404 2.158 0.000
Mg 6.404 6.404 0.000
Mg 6.420 2.142 4.279
Mg 6.420 6.420 4.279
Mg 6.443 4.281 2.169
Mg 6.443 4.281 6.389
O 0.000 0.000 2.311
O 0.000 0.000 6.247
O 0.000 2.167 4.279
O 0.000 2.300 0.000
O 0.000 4.281 2.188
O 0.000 4.281 6.370
O 0.000 6.262 0.000
O 0.000 6.395 4.279
O 2.061 4.281 0.000
O 2.132 4.281 4.279
O 2.140 2.140 2.139
O 2.140 2.140 6.419
O 2.140 6.422 2.139
O 2.140 6.422 6.419
O 2.167 0.000 4.279
O 2.300 0.000 0.000
O 4.281 0.000 2.188
O 4.281 0.000 6.370
O 4.281 2.061 0.000
O 4.281 2.132 4.279
O 4.281 4.281 2.245
O 4.281 4.281 6.313
O 4.281 6.430 4.279
O 4.281 6.501 0.000
O 6.262 0.000 0.000
O 6.395 0.000 4.279
O 6.422 2.140 2.139
O 6.422 2.140 6.419
O 6.422 6.422 2.139
O 6.422 6.422 6.419
O 6.430 4.281 4.279
O 6.501 4.281 0.000
```

Calculated values
The value obtained for the total magnetization is 0.00 μB per formula unit. The uncorrected formation energy is -2961 meV per atom. Its crystal system is tetragonal.

---

A PBEsol-optimized structure of CaMg14TiO16. Source: Alexandria via LeMat-Bulk, functional SCAN.

```
32
Lattice="4.276 0.000 0.000 0.000 8.545 0.000 0.000 0.000 8.576" Properties=species:S:1:pos:R:3 pbc="T T T"
Ca 0.000 0.000 0.000
Mg 0.000 2.169 2.162
Mg 0.000 2.169 6.414
Mg 0.000 4.272 0.000
Mg 0.000 4.272 4.288
Mg 0.000 6.376 2.162
Mg 0.000 6.376 6.414
Mg 2.138 0.000 2.165
Mg 2.138 0.000 6.410
Mg 2.138 2.158 4.288
Mg 2.138 2.186 0.000
Mg 2.138 4.272 2.147
Mg 2.138 4.272 6.428
Mg 2.138 6.359 0.000
Mg 2.138 6.387 4.288
Ti 0.000 0.000 4.288
O 0.000 0.000 2.210
O 0.000 0.000 6.366
O 0.000 2.190 4.288
O 0.000 2.254 0.000
O 0.000 4.272 2.163
O 0.000 4.272 6.413
O 0.000 6.291 0.000
O 0.000 6.355 4.288
O 2.138 0.000 0.000
O 2.138 0.000 4.288
O 2.138 2.132 2.148
O 2.138 2.132 6.428
O 2.138 4.272 0.000
O 2.138 4.272 4.288
O 2.138 6.413 2.148
O 2.138 6.413 6.428
```

Calculated values
The value obtained for the total magnetization is 2.00 μB per formula unit. The uncorrected formation energy is -2929 meV per atom. Its crystal system is orthorhombic.

---

A PBEsol-optimized structure of CaMgTl2O. Source: Alexandria via LeMat-Bulk, functional SCAN.

```
5
Lattice="5.567 0.000 0.000 0.000 5.567 0.000 0.000 0.000 3.755" Properties=species:S:1:pos:R:3 pbc="T T T"
Ca 0.000 0.000 0.000
Mg 2.784 2.784 0.000
Tl 0.000 2.784 1.877
Tl 2.784 0.000 1.877
O 2.784 2.784 1.877
```

Calculated values
The value obtained for the total magnetization is 0.00 μB per formula unit. The uncorrected formation energy is -833 meV per atom. Its crystal system is tetragonal.

---

Number 1: energy -391.8 eV/f.u.. Number 2: energy -570.1 eV/f.u.. Number 3: energy -288.7 eV/f.u.. Number 4: energy -169.8 eV/f.u..